Computed, not measured: a relaxed TbNd2HoSb4 crystal at the PBE level of DFT.

Output
Energy relative to the elements, uncorrected ... -1.157 eV/atom
Final energy ... -5.561 eV/atom
Theoretical density ... 7.30 g cm⁻³
Spin magnetization ... 0.000 μB/atom
SG ... P2/m (10)

Lattice parameters (Å, degrees): 7.712 4.459 7.719 90.00 109.49 90.00
Fractional coordinates of all 8 atoms:
Tb 0.000 0.000 0.000
Nd 0.500 0.000 0.500
Nd 0.500 0.500 0.000
Ho 0.000 0.500 0.500
Sb 0.241 0.000 0.746
Sb 0.241 0.500 0.248
Sb 0.759 0.000 0.254
Sb 0.759 0.500 0.752